# 1
The following is a DFT calculation (GGA-PBE) of a relaxed structure of TbNdTm2Te6.

Cell lengths 8.311, 8.311, 8.311 Å; angles 55.45, 55.45, 55.45 degrees
Element x y z (fractional)
Tb 0.000 0.000 0.000
Nd 0.503 0.503 0.503
Tm 0.315 0.315 0.315
Tm 0.813 0.813 0.813
Te 0.083 0.414 0.713
Te 0.202 0.925 0.586
Te 0.414 0.713 0.083
Te 0.586 0.202 0.925
Te 0.713 0.083 0.414
Te 0.925 0.586 0.202

Calculated values
* magnetization: 0.000 μB per atom
* SG: R3 (146)
* formation energy (no corrections): -1350 meV per atom

=====

# 2
The following is a DFT calculation (GGA-PBE) of a relaxed structure of Cs2PaGaTe5.

Cell lengths 11.442, 11.442, 16.241 Å; angles 90.00, 90.00, 157.32 degrees
Element x y z (fractional)
Cs 0.121 0.879 0.500
Cs 0.131 0.869 0.860
Cs 0.869 0.131 0.360
Cs 0.879 0.121 0.000
Pa 0.196 0.804 0.192
Pa 0.804 0.196 0.692
Ga 0.430 0.570 0.588
Ga 0.570 0.430 0.088
Te 0.057 0.943 0.190
Te 0.309 0.691 0.561
Te 0.310 0.690 0.816
Te 0.323 0.677 0.178
Te 0.488 0.512 0.455
Te 0.512 0.488 0.955
Te 0.677 0.323 0.678
Te 0.690 0.310 0.316
Te 0.691 0.309 0.061
Te 0.943 0.057 0.690

Calculated values
* magnetization: 0.016 μB per atom
* SG: Cmc2_1 (36)
* formation energy (no corrections): -814 meV per atom

=====

# 3
The following is a DFT calculation (GGA-PBE) of a relaxed structure of CsLi2HfCl8.

Cell lengths 5.656, 6.439, 9.432 Å; angles 93.66, 105.52, 90.93 degrees
Element x y z (fractional)
Cs 0.000 0.000 0.000
Li 0.153 0.513 0.704
Li 0.847 0.487 0.296
Hf 0.500 0.000 0.500
Cl 0.179 0.789 0.325
Cl 0.235 0.305 0.487
Cl 0.249 0.501 0.983
Cl 0.375 0.870 0.712
Cl 0.625 0.130 0.288
Cl 0.751 0.499 0.017
Cl 0.765 0.695 0.513
Cl 0.821 0.211 0.675

Calculated values
* magnetization: 0.000 μB per atom
* SG: P-1 (2)
* formation energy (no corrections): -1654 meV per atom

=====

| no. | uncorrected energy (eV per atom) |
| --- | --- |
| 1 | -5.07 |
| 2 | -4.14 |
| 3 | -4.10 |